PBE-GGA Tb2NdSn4Au4, relaxed; space group = Immm, No. 71; E_tot = -50.5 eV/cell
1.0
-2.285 3.686 7.769
2.285 -3.686 7.769
2.285 3.686 -7.769
Au Nd Sn Tb
4 1 4 2
direct
0.630 0.332 0.298
0.966 0.668 0.298
0.034 0.332 0.702
0.370 0.668 0.702
0.000 0.000 0.000
0.216 0.216 0.000
0.784 0.784 0.000
0.693 0.500 0.193
0.307 0.500 0.807
0.629 0.129 0.500
0.371 0.871 0.500